# 1
# MoC, relaxed, DFT GGA-PBE
data_MoC
_chemical_formula_sum 'Mo1 C1'
_space_group_name_H-M_alt 'P 1'
_space_group_IT_number 1
_space_group_name_Hall 'P 1'
_cell_length_a 2.7175
_cell_length_b 2.7175
_cell_length_c 2.7175
_cell_angle_alpha 90.00
_cell_angle_beta 90.00
_cell_angle_gamma 90.00
loop_
_atom_site_label
_atom_site_type_symbol
_atom_site_fract_x
_atom_site_fract_y
_atom_site_fract_z
C1 C 0.5000 0.5000 0.5000
Mo1 Mo 0.0000 0.0000 0.0000
# Offset from the most stable computed form   766 meV/atom
# V   20 Å³/cell

# 2
# NpNbW, relaxed, DFT GGA-PBE
data_NpNbW
_chemical_formula_sum 'Np1 Nb1 W1'
_space_group_name_H-M_alt 'P 1'
_space_group_IT_number 1
_space_group_name_Hall 'P 1'
_cell_length_a 4.4544
_cell_length_b 4.4544
_cell_length_c 4.4544
_cell_angle_alpha 60.00
_cell_angle_beta 60.00
_cell_angle_gamma 60.00
loop_
_atom_site_label
_atom_site_type_symbol
_atom_site_fract_x
_atom_site_fract_y
_atom_site_fract_z
Nb1 Nb 0.0000 0.0000 0.0000
Np1 Np 0.7500 0.7500 0.7500
W1 W 0.2500 0.2500 0.2500
# Offset from the most stable computed form   0 meV/atom
# Formation energy   0.976 eV per atom
# V   62 Å³/cell

# 3
# TmNi2Te2, relaxed, DFT GGA-PBE
data_TmNi2Te2
_chemical_formula_sum 'Tm1 Ni2 Te2'
_space_group_name_H-M_alt 'P 1'
_space_group_IT_number 1
_space_group_name_Hall 'P 1'
_cell_length_a 7.1969
_cell_length_b 7.1969
_cell_length_c 7.1969
_cell_angle_alpha 148.83
_cell_angle_beta 148.83
_cell_angle_gamma 44.67
loop_
_atom_site_label
_atom_site_type_symbol
_atom_site_fract_x
_atom_site_fract_y
_atom_site_fract_z
Ni1 Ni 0.7500 0.2500 0.5000
Ni2 Ni 0.2500 0.7500 0.5000
Te1 Te 0.3747 0.3747 0.0000
Te2 Te 0.6253 0.6253 0.0000
Tm1 Tm 0.0000 0.0000 0.0000
# DFT total energy   -24.16 eV/cell
# V   100 Å³/cell

# 4
# BaSnSbPd, relaxed, DFT GGA-PBE
data_BaSnSbPd
_chemical_formula_sum 'Ba2 Sn2 Sb2 Pd2'
_space_group_name_H-M_alt 'P 1'
_space_group_IT_number 1
_space_group_name_Hall 'P 1'
_cell_length_a 9.9053
_cell_length_b 9.9053
_cell_length_c 4.8875
_cell_angle_alpha 90.00
_cell_angle_beta 90.00
_cell_angle_gamma 151.50
loop_
_atom_site_label
_atom_site_type_symbol
_atom_site_fract_x
_atom_site_fract_y
_atom_site_fract_z
Ba1 Ba 0.1049 0.8951 0.2500
Ba2 Ba 0.8951 0.1049 0.7500
Pd1 Pd 0.3173 0.6827 0.2500
Pd2 Pd 0.6827 0.3173 0.7500
Sb1 Sb 0.4556 0.5444 0.2500
Sb2 Sb 0.5444 0.4556 0.7500
Sn1 Sn 0.7488 0.2512 0.2500
Sn2 Sn 0.2512 0.7488 0.7500
# DFT total energy   -36.60 eV/cell
# V   229 Å³/cell

# 5
# Sr2GdMg3CdHg2, relaxed, DFT GGA-PBE
data_Sr2GdMg3CdHg2
_chemical_formula_sum 'Sr2 Gd1 Mg3 Cd1 Hg2'
_space_group_name_H-M_alt 'P 1'
_space_group_IT_number 1
_space_group_name_Hall 'P 1'
_cell_length_a 4.4192
_cell_length_b 8.1472
_cell_length_c 8.1472
_cell_angle_alpha 120.38
_cell_angle_beta 90.00
_cell_angle_gamma 90.00
loop_
_atom_site_label
_atom_site_type_symbol
_atom_site_fract_x
_atom_site_fract_y
_atom_site_fract_z
Cd1 Cd 0.0000 0.9942 0.9942
Gd1 Gd 0.0000 0.5880 0.5880
Hg1 Hg 0.5000 0.6623 0.3492
Hg2 Hg 0.5000 0.3492 0.6623
Mg1 Mg 0.5000 0.2475 0.2475
Mg2 Mg 0.5000 0.9911 0.7545
Mg3 Mg 0.5000 0.7545 0.9911
Sr1 Sr 0.0000 0.9991 0.4143
Sr2 Sr 0.0000 0.4143 0.9991
# DFT total energy   -17.09 eV/cell
# V   253 Å³/cell

# 6
# Na4Cd3H2C4O14, relaxed, DFT GGA-PBE
data_Na4Cd3H2C4O14
_chemical_formula_sum 'Na8 Cd6 H4 C8 O28'
_space_group_name_H-M_alt 'P 1'
_space_group_IT_number 1
_space_group_name_Hall 'P 1'
_cell_length_a 9.3166
_cell_length_b 3.3958
_cell_length_c 19.0681
_cell_angle_alpha 90.00
_cell_angle_beta 99.05
_cell_angle_gamma 90.00
loop_
_atom_site_label
_atom_site_type_symbol
_atom_site_fract_x
_atom_site_fract_y
_atom_site_fract_z
C1 C 0.7901 0.1095 0.0671
C2 C 0.2306 0.9148 0.1950
C3 C 0.7694 0.4148 0.3050
C4 C 0.2099 0.6095 0.4329
C5 C 0.7901 0.3905 0.5671
C6 C 0.2306 0.5852 0.6950
C7 C 0.7694 0.0852 0.8050
C8 C 0.2099 0.8905 0.9329
Cd1 Cd 0.5000 0.5000 0.0000
Cd2 Cd 0.5831 0.9437 0.1797
Cd3 Cd 0.4169 0.4437 0.3203
Cd4 Cd 0.5000 0.0000 0.5000
Cd5 Cd 0.5831 0.5563 0.6797
Cd6 Cd 0.4169 0.0563 0.8203
H1 H 0.3774 0.5320 0.1201
H2 H 0.6226 0.0320 0.3799
H3 H 0.3774 0.9680 0.6201
H4 H 0.6226 0.4680 0.8799
Na1 Na 0.1459 0.2528 0.0499
Na2 Na 0.9598 0.5496 0.1730
Na3 Na 0.0402 0.0496 0.3270
Na4 Na 0.8541 0.7528 0.4501
Na5 Na 0.1459 0.2472 0.5499
Na6 Na 0.9598 0.9504 0.6730
Na7 Na 0.0402 0.4504 0.8270
Na8 Na 0.8541 0.7472 0.9501
O1 O 0.6797 0.0051 0.0191
O2 O 0.9004 0.2758 0.0466
O3 O 0.4770 0.4499 0.1126
O4 O 0.2176 0.7445 0.1337
O5 O 0.7900 0.0449 0.1341
O6 O 0.1223 0.0601 0.2190
O7 O 0.3626 0.9374 0.2341
O8 O 0.6374 0.4374 0.2659
O9 O 0.8777 0.5601 0.2810
O10 O 0.2100 0.5449 0.3659
O11 O 0.7824 0.2445 0.3663
O12 O 0.5230 0.9499 0.3874
O13 O 0.0996 0.7758 0.4534
O14 O 0.3203 0.5051 0.4809
O15 O 0.6797 0.4949 0.5191
O16 O 0.9004 0.2242 0.5466
O17 O 0.4770 0.0501 0.6126
O18 O 0.2176 0.7555 0.6337
O19 O 0.7900 0.4551 0.6341
O20 O 0.1223 0.4399 0.7190
O21 O 0.3626 0.5626 0.7341
O22 O 0.6374 0.0626 0.7659
O23 O 0.8777 0.9399 0.7810
O24 O 0.2100 0.9551 0.8659
O25 O 0.7824 0.2555 0.8663
O26 O 0.5230 0.5501 0.8874
O27 O 0.0996 0.7242 0.9534
O28 O 0.3203 0.9949 0.9809
# DFT total energy   -321.22 eV/cell
# V   596 Å³/cell

# 7
# LaDyPO, relaxed, DFT GGA-PBE
data_LaDyPO
_chemical_formula_sum 'La2 Dy2 P2 O2'
_space_group_name_H-M_alt 'P 1'
_space_group_IT_number 1
_space_group_name_Hall 'P 1'
_cell_length_a 4.1839
_cell_length_b 8.0060
_cell_length_c 5.5270
_cell_angle_alpha 90.00
_cell_angle_beta 90.00
_cell_angle_gamma 90.00
loop_
_atom_site_label
_atom_site_type_symbol
_atom_site_fract_x
_atom_site_fract_y
_atom_site_fract_z
Dy1 Dy 0.0000 0.6949 0.4386
Dy2 Dy 0.0000 0.3051 0.9386
La1 La 0.5000 0.1270 0.4491
La2 La 0.5000 0.8730 0.9491
O1 O 0.5000 0.8187 0.4277
O2 O 0.5000 0.1813 0.9277
P1 P 0.0000 0.3549 0.4386
P2 P 0.0000 0.6451 0.9386
# Offset from the most stable computed form   50 meV/atom
# V   185 Å³/cell

# 8
# Pr2NdSi2Ge2Ir4, relaxed, DFT GGA-PBE
data_Pr2NdSi2Ge2Ir4
_chemical_formula_sum 'Pr2 Nd1 Si2 Ge2 Ir4'
_space_group_name_H-M_alt 'P 1'
_space_group_IT_number 1
_space_group_name_Hall 'P 1'
_cell_length_a 12.8805
_cell_length_b 12.8805
_cell_length_c 12.8805
_cell_angle_alpha 161.57
_cell_angle_beta 161.22
_cell_angle_gamma 26.43
loop_
_atom_site_label
_atom_site_type_symbol
_atom_site_fract_x
_atom_site_fract_y
_atom_site_fract_z
Ge1 Ge 0.4501 0.4501 0.0000
Ge2 Ge 0.5499 0.5499 0.0000
Ir1 Ir 0.2498 0.2498 0.0000
Ir2 Ir 0.7502 0.7502 0.0000
Ir3 Ir 0.8966 0.3966 0.5000
Ir4 Ir 0.1034 0.6034 0.5000
Nd1 Nd 0.0000 0.0000 0.0000
Pr1 Pr 0.6457 0.1457 0.5000
Pr2 Pr 0.3543 0.8543 0.5000
Si1 Si 0.8008 0.3008 0.5000
Si2 Si 0.1992 0.6992 0.5000
# DFT total energy   -80.19 eV/cell
# V   217 Å³/cell